1.
# PBE MoAu4Br, relaxed
# * magnetic moment: 17.34 Bohr magnetons per cell
# * E: -3.718 eV per atom
# * formation energy from raw total energies: 3.3 eV/f.u.
data_MoAu4Br
_symmetry_space_group_name_H-M 'F -4 3 m'
_symmetry_Int_Tables_number 216
_symmetry_space_group_name_Hall 'F -4 2 3'
_cell_length_a 7.908
_cell_length_b 7.908
_cell_length_c 7.908
_cell_angle_alpha 90.00
_cell_angle_beta 90.00
_cell_angle_gamma 90.00
loop_
_atom_site_label
_atom_site_type_symbol
_atom_site_fract_x
_atom_site_fract_y
_atom_site_fract_z
_atom_site_occupancy
Mo1 Mo 0.000 0.000 0.000 1
Au1 Au 0.125 0.125 0.625 1
Br1 Br 0.250 0.250 0.250 1



2.
# PBE BaCoAu2, relaxed
# * magnetic moment: 8.59 Bohr magnetons per cell
# * E: -3.683 eV per atom
# * relative energy among the computed polymorphs: 1.62 eV/f.u.
# * ΔE_f: 0.212 eV/atom
data_BaCoAu2
_symmetry_space_group_name_H-M 'F m -3 m'
_symmetry_Int_Tables_number 225
_symmetry_space_group_name_Hall '-F 4 2 3'
_cell_length_a 7.349
_cell_length_b 7.349
_cell_length_c 7.349
_cell_angle_alpha 90.00
_cell_angle_beta 90.00
_cell_angle_gamma 90.00
loop_
_atom_site_label
_atom_site_type_symbol
_atom_site_fract_x
_atom_site_fract_y
_atom_site_fract_z
_atom_site_occupancy
Ba1 Ba 0.000 0.000 0.000 1
Co1 Co 0.000 0.000 0.500 1
Au1 Au 0.250 0.250 0.250 1



3.
# PBE Ca2HgPt, relaxed
# * magnetic moment: 0.00 Bohr magnetons per cell
# * E: -3.263 eV per atom
# * ΔE_f: -0.677 eV/atom
data_Ca2HgPt
_symmetry_space_group_name_H-M 'C 1 2/m 1'
_symmetry_Int_Tables_number 12
_cell_length_a 7.127
_cell_length_b 7.192
_cell_length_c 3.726
_cell_angle_alpha 90.00
_cell_angle_beta 90.24
_cell_angle_gamma 90.00
loop_
_symmetry_equiv_pos_as_xyz
'x,y,z'
'-x,-y,-z'
'-x,y,-z'
'x,-y,z'
'x+1/2,y+1/2,z'
'-x+1/2,-y+1/2,-z'
'-x+1/2,y+1/2,-z'
'x+1/2,-y+1/2,z'
loop_
_atom_site_label
_atom_site_type_symbol
_atom_site_fract_x
_atom_site_fract_y
_atom_site_fract_z
_atom_site_occupancy
Ca1 Ca 0.250 0.250 0.000 1
Hg1 Hg 0.000 0.000 0.500 1
Pt1 Pt 0.000 0.500 0.500 1



4.
# PBE Li2TcSbO6, relaxed
# * magnetic moment: 1.08 Bohr magnetons per cell
# * E: -6.269 eV per atom
# * formation energy from raw total energies: -14.6 eV/f.u.
data_Li2TcSbO6
_symmetry_space_group_name_H-M 'P 4 m m'
_symmetry_Int_Tables_number 99
_cell_length_a 5.598
_cell_length_b 5.598
_cell_length_c 4.028
_cell_angle_alpha 90.00
_cell_angle_beta 90.00
_cell_angle_gamma 90.00
loop_
_symmetry_equiv_pos_as_xyz
'x,y,z'
'-y,x,z'
'-x,-y,z'
'y,-x,z'
'-x,y,z'
'y,x,z'
'x,-y,z'
'-y,-x,z'
loop_
_atom_site_label
_atom_site_type_symbol
_atom_site_fract_x
_atom_site_fract_y
_atom_site_fract_z
_atom_site_occupancy
Li1 Li 0.000 0.500 0.000 1
Tc1 Tc 0.000 0.000 0.729 1
Sb1 Sb 0.500 0.500 0.768 1
O1 O 0.000 0.000 0.298 1
O2 O 0.242 0.242 0.832 1
O3 O 0.500 0.500 0.280 1